[1]
Compound: DyEr12Th3
Source: the Alexandria database
Functional: PBE
Structure: optimized geometry

Structure (POSCAR):
```
DyEr12Th3
1.0
4.990 0.000 0.000
0.000 4.990 0.000
0.000 0.000 19.871
Dy Er Th
1 12 3
Cartesian
0.000 0.000 0.000
2.495 2.495 0.000
2.495 2.495 4.965
2.495 2.495 9.936
2.495 2.495 14.906
2.495 0.000 2.504
2.495 0.000 7.456
2.495 0.000 12.415
2.495 0.000 17.367
0.000 2.495 2.504
0.000 2.495 7.456
0.000 2.495 12.415
0.000 2.495 17.367
0.000 0.000 4.985
0.000 0.000 9.936
0.000 0.000 14.886
```

Properties
**Space group**: P4/mmm, No. 123
**Formation enthalpy at 0 K**: 0.03 eV per atom
**VASP energy**: -81.1 eV for the cell shown


[2]
Compound: Tc2AuBr
Source: the Alexandria database
Functional: PBE
Structure: optimized geometry

Structure (POSCAR):
```
Tc2AuBr
1.0
2.354 -2.938 -2.500
-1.564 -4.193 -0.630
-1.538 -1.252 -4.061
Au Tc Br
1 2 1
Cartesian
-0.374 -4.192 -3.596
-0.187 -2.096 -1.798
-0.561 -6.288 -5.394
0.000 0.000 0.000
```

Properties
**Space group**: Fm-3m, No. 225
**ΔE_f (raw)**: 0.99 eV per atom
**VASP energy**: -21.7 eV for the cell shown
**Polymorph energy (0 for the lowest one)**: 711.6 meV per atom


[3]
Compound: Mg4SbPb
Source: the Alexandria database
Functional: PBE
Structure: optimized geometry

Structure (POSCAR):
```
Mg4SbPb
1.0
4.947 0.005 0.003
0.003 4.927 0.148
0.001 0.202 6.781
Mg Sb Pb
4 1 1
Cartesian
2.483 4.900 1.853
2.480 0.207 5.053
0.008 2.527 5.136
0.008 2.576 1.767
2.482 2.655 6.844
0.010 5.015 3.526
```

Properties
**Space group**: P-1, No. 2
**ΔE_f (raw)**: -0.13 eV per atom
**VASP energy**: -15.0 eV for the cell shown
**Polymorph energy (0 for the lowest one)**: 0.0 meV per atom


For reference, density of states at the Fermi level by record: 25.22 5.65 1.36 states/eV per cell.